Arrangement a

The following is a GGA-PBE calculation of a geometry-optimized BaIn9Ir2 structure, from Alexandria via LeMat-Bulk.

Properties
Density of states at the Fermi level   2.2 states/eV/cell
Volume   305.5 Å³ per cell

```
BaIn9Ir2
1.0
-3.823 0.636 -8.133
-4.311 -4.229 6.686
-1.864 3.748 1.169
Ba In Ir
1 9 2
Direct
0.000 0.000 0.000 Ba
0.587 0.793 0.500 In
0.207 0.793 0.500 In
0.207 0.413 0.500 In
0.793 0.587 0.500 In
0.793 0.207 0.500 In
0.413 0.207 0.500 In
0.000 0.500 0.000 In
0.500 0.500 0.000 In
0.500 0.000 0.000 In
0.333 0.667 0.000 Ir
0.667 0.333 0.000 Ir
```

Arrangement b

The following is a GGA-PBE calculation of a geometry-optimized BaIn9Ir2 structure, from Alexandria via LeMat-Bulk.

Properties
Density of states at the Fermi level   7.0 states/eV/cell
Volume   581.0 Å³ per cell

```
BaIn9Ir2
1.0
7.641 0.000 3.518
3.821 8.311 1.759
0.345 0.000 9.308
Ba In Ir
2 18 4
Direct
0.500 0.000 0.000 Ba
0.250 0.500 0.500 Ba
0.750 0.500 0.500 In
0.000 0.000 0.000 In
0.014 0.924 0.680 In
0.617 0.076 0.320 In
0.687 0.180 0.576 In
0.444 0.820 0.424 In
0.736 0.820 0.576 In
0.133 0.180 0.424 In
0.063 0.924 0.320 In
0.306 0.076 0.680 In
0.736 0.576 0.820 In
0.133 0.424 0.180 In
0.063 0.320 0.924 In
0.306 0.680 0.076 In
0.014 0.680 0.924 In
0.617 0.320 0.076 In
0.687 0.576 0.180 In
0.444 0.424 0.820 In
0.875 0.250 0.750 Ir
0.875 0.750 0.250 Ir
0.875 0.250 0.250 Ir
0.375 0.750 0.750 Ir
```

Stability summary: most stable arrangement a, least stable arrangement b.

Arrangement a

The following is a GGA-PBE calculation of a geometry-optimized Ba4InIr structure, from Alexandria via LeMat-Bulk.

Properties
Density of states at the Fermi level   7.2 states/eV/cell
Volume   489.8 Å³ per cell

```
Ba4InIr
1.0
-1.423 5.111 4.439
-7.150 0.494 -5.473
-0.353 -7.141 5.496
Ba In Ir
8 2 2
Direct
0.869 0.639 0.788 Ba
0.052 0.948 0.273 Ba
0.631 0.212 0.361 Ba
0.448 0.727 0.052 Ba
0.552 0.273 0.948 Ba
0.369 0.788 0.639 Ba
0.948 0.052 0.727 Ba
0.131 0.361 0.212 Ba
0.750 0.630 0.370 In
0.250 0.370 0.630 In
0.250 0.000 0.000 Ir
0.750 0.000 0.000 Ir
```

Arrangement b

The following is a GGA-PBE calculation of a geometry-optimized Ba4InIr structure, from Alexandria via LeMat-Bulk.

Properties
Density of states at the Fermi level   7.1 states/eV/cell
Volume   230.1 Å³ per cell

```
Ba4InIr
1.0
1.993 -5.815 -3.084
-4.675 -4.145 -2.875
-0.355 -0.558 -6.846
Ba In Ir
4 1 1
Direct
0.878 0.374 0.374 Ba
0.374 0.374 0.878 Ba
0.374 0.878 0.374 Ba
0.374 0.374 0.374 Ba
0.750 0.750 0.750 In
0.000 0.000 0.000 Ir
```

Stability summary: most stable arrangement a, least stable arrangement b.

Arrangement a

The following is a GGA-PBE calculation of a geometry-optimized BaMnIn2Ir structure, from Alexandria via LeMat-Bulk.

Properties
Density of states at the Fermi level   4.3 states/eV/cell
Volume   120.0 Å³ per cell

```
BaMnIn2Ir
1.0
5.031 0.000 0.000
0.000 4.739 0.000
0.000 0.000 5.031
Ir Ba Mn In
1 1 1 2
Direct
0.000 0.500 0.000 Ir
0.500 0.500 0.500 Ba
0.000 0.000 0.000 Mn
0.000 0.000 0.500 In
0.500 0.000 0.000 In
```

Arrangement b

The following is a GGA-PBE calculation of a geometry-optimized BaMnIn2Ir structure, from Alexandria via LeMat-Bulk.

Properties
Density of states at the Fermi level   3.8 states/eV/cell
Volume   202.9 Å³ per cell

```
BaMnIn2Ir
1.0
-2.508 3.421 4.632
-4.174 0.843 -2.883
-2.678 -5.166 2.366
Ir Ba Mn In
1 1 1 2
Direct
0.000 0.500 0.000 Ir
0.000 0.000 0.000 Ba
0.500 0.500 0.500 Mn
0.000 0.000 0.500 In
0.500 0.000 0.000 In
```

Stability summary: most stable arrangement a, least stable arrangement b.

Arrangement a

The following is a GGA-PBE calculation of a geometry-optimized BaIn2SnIr structure, from Alexandria via LeMat-Bulk.

Properties
Density of states at the Fermi level   7.6 states/eV/cell
Volume   197.5 Å³ per cell

```
BaIn2SnIr
1.0
5.428 0.000 0.000
0.000 6.704 0.000
0.000 0.000 5.428
Ir In Ba Sn
1 2 1 1
Direct
0.500 0.500 0.500 Ir
0.000 0.000 0.500 In
0.500 0.000 0.000 In
0.000 0.500 0.000 Ba
0.000 0.000 0.000 Sn
```

Arrangement b

The following is a GGA-PBE calculation of a geometry-optimized BaIn2SnIr structure, from Alexandria via LeMat-Bulk.

Properties
Density of states at the Fermi level   4.7 states/eV/cell
Volume   144.8 Å³ per cell

```
BaIn2SnIr
1.0
5.246 0.000 0.000
0.000 5.246 0.000
0.000 0.000 5.263
Ir In Ba Sn
1 2 1 1
Direct
0.000 0.000 0.000 Ir
0.000 0.500 0.000 In
0.500 0.000 0.000 In
0.500 0.500 0.500 Ba
0.000 0.000 0.500 Sn
```

Stability summary: most stable arrangement b, least stable arrangement a.

Arrangement a

The following is a GGA-PBE calculation of a geometry-optimized Ba2SrInIr structure, from Alexandria via LeMat-Bulk.

Properties
Density of states at the Fermi level   4.8 states/eV/cell
Volume   202.7 Å³ per cell

```
Ba2SrInIr
1.0
6.152 0.000 0.000
0.000 6.152 0.000
0.000 0.000 5.354
Sr Ir Ba In
1 1 2 1
Direct
0.500 0.500 0.500 Sr
0.000 0.000 0.000 Ir
0.000 0.500 0.000 Ba
0.500 0.000 0.000 Ba
0.000 0.000 0.500 In
```

Arrangement b

The following is a GGA-PBE calculation of a geometry-optimized Ba2SrInIr structure, from Alexandria via LeMat-Bulk.

Properties
Density of states at the Fermi level   4.9 states/eV/cell
Volume   214.5 Å³ per cell

```
Ba2SrInIr
1.0
-0.639 2.118 5.652
-0.066 -5.685 2.123
5.792 0.156 0.596
Sr Ir Ba In
1 1 2 1
Direct
0.000 0.000 0.500 Sr
0.000 0.000 0.000 Ir
0.000 0.500 0.000 Ba
0.500 0.000 0.000 Ba
0.500 0.500 0.500 In
```

Stability summary: most stable arrangement b, least stable arrangement a.

Arrangement a

The following is a GGA-PBE calculation of a geometry-optimized BaSr2InIr structure, from Alexandria via LeMat-Bulk.

Properties
Density of states at the Fermi level   4.5 states/eV/cell
Volume   204.7 Å³ per cell

```
BaSr2InIr
1.0
-1.197 -5.120 -2.489
4.338 0.827 -3.787
3.833 -2.740 3.792
Sr Ir Ba In
2 1 1 1
Direct
0.000 0.500 0.000 Sr
0.500 0.000 0.000 Sr
0.000 0.000 0.000 Ir
0.000 0.000 0.500 Ba
0.500 0.500 0.500 In
```

Arrangement b

The following is a GGA-PBE calculation of a geometry-optimized BaSr2InIr structure, from Alexandria via LeMat-Bulk.

Properties
Density of states at the Fermi level   4.8 states/eV/cell
Volume   184.6 Å³ per cell

```
BaSr2InIr
1.0
5.860 0.000 0.000
0.000 5.860 0.000
0.000 0.000 5.377
Sr Ir Ba In
2 1 1 1
Direct
0.000 0.500 0.000 Sr
0.500 0.000 0.000 Sr
0.000 0.000 0.000 Ir
0.500 0.500 0.500 Ba
0.000 0.000 0.500 In
```

Stability summary: most stable arrangement b, least stable arrangement a.

Arrangement a

The following is a GGA-PBE calculation of a geometry-optimized K2BaIn2 structure, from Alexandria via LeMat-Bulk.

Properties
Density of states at the Fermi level   7.0 states/eV/cell
Volume   221.3 Å³ per cell

```
K2BaIn2
1.0
5.221 0.000 0.000
0.000 5.221 0.000
2.611 2.611 8.116
K Ba In
2 1 2
Direct
0.750 0.250 0.500 K
0.250 0.750 0.500 K
0.000 0.000 0.000 Ba
0.412 0.412 0.176 In
0.588 0.588 0.824 In
```

Arrangement b

The following is a GGA-PBE calculation of a geometry-optimized K2BaIn2 structure, from Alexandria via LeMat-Bulk.

Properties
Density of states at the Fermi level   9.0 states/eV/cell
Volume   404.7 Å³ per cell

```
K2BaIn2
1.0
-2.906 -9.429 -1.500
9.210 -2.355 -3.039
1.025 -0.924 3.821
K Ba In
4 2 4
Direct
0.381 0.881 0.000 K
0.881 0.619 0.000 K
0.619 0.119 0.000 K
0.119 0.381 0.000 K
0.000 0.000 0.000 Ba
0.500 0.500 0.000 Ba
0.183 0.683 0.500 In
0.683 0.817 0.500 In
0.817 0.317 0.500 In
0.317 0.183 0.500 In
```

Stability summary: most stable arrangement a, least stable arrangement b.

Arrangement a

The following is a GGA-PBE calculation of a geometry-optimized KBaIn structure, from Alexandria via LeMat-Bulk.

Properties
Density of states at the Fermi level   2.0 states/eV/cell
Volume   146.1 Å³ per cell

```
KBaIn
1.0
8.338 0.073 -0.018
6.029 5.761 0.018
-7.177 -2.932 3.069
Ba In K
1 1 1
Direct
0.961 0.961 0.000 Ba
0.343 0.343 0.000 In
0.696 0.696 0.000 K
```

Arrangement b

The following is a GGA-PBE calculation of a geometry-optimized KBaIn structure, from Alexandria via LeMat-Bulk.

Properties
Density of states at the Fermi level   3.7 states/eV/cell
Volume   156.1 Å³ per cell

```
KBaIn
1.0
6.043 0.000 0.000
3.022 5.234 0.000
3.022 1.745 4.934
Ba In K
1 1 1
Direct
0.500 0.500 0.500 Ba
0.750 0.750 0.750 In
0.000 0.000 0.000 K
```

Arrangement c

The following is a GGA-PBE calculation of a geometry-optimized KBaIn structure, from Alexandria via LeMat-Bulk.

Properties
Density of states at the Fermi level   6.7 states/eV/cell
Volume   312.6 Å³ per cell

```
KBaIn
1.0
-3.977 1.860 2.400
1.687 -2.027 4.367
7.075 9.263 4.546
In K Ba
2 2 2
Direct
0.750 0.465 0.070 In
0.250 0.535 0.930 In
0.750 0.308 0.383 K
0.250 0.692 0.617 K
0.750 0.073 0.853 Ba
0.250 0.927 0.147 Ba
```

Stability summary: most stable arrangement c, least stable arrangement b.

Arrangement a

The following is a GGA-PBE calculation of a geometry-optimized BaLa2In2 structure, from Alexandria via LeMat-Bulk.

Properties
Density of states at the Fermi level   5.5 states/eV/cell
Volume   206.5 Å³ per cell

```
BaLa2In2
1.0
-4.778 -3.243 0.607
2.444 -4.197 -3.183
1.171 -6.213 3.795
In Ba La
2 1 2
Direct
0.750 0.250 0.500 In
0.250 0.750 0.500 In
0.000 0.000 0.000 Ba
0.350 0.350 0.300 La
0.650 0.650 0.700 La
```

Arrangement b

The following is a GGA-PBE calculation of a geometry-optimized BaLa2In2 structure, from Alexandria via LeMat-Bulk.

Properties
Density of states at the Fermi level   8.1 states/eV/cell
Volume   189.4 Å³ per cell

```
BaLa2In2
1.0
-3.710 -3.240 -1.352
0.558 -2.486 4.427
-6.502 1.497 4.606
In Ba La
2 1 2
Direct
0.400 0.400 0.199 In
0.600 0.600 0.801 In
0.000 0.000 0.000 Ba
0.750 0.250 0.500 La
0.250 0.750 0.500 La
```

Arrangement c

The following is a GGA-PBE calculation of a geometry-optimized BaLa2In2 structure, from Alexandria via LeMat-Bulk.

Properties
Density of states at the Fermi level   17.3 states/eV/cell
Volume   343.2 Å³ per cell

```
BaLa2In2
1.0
9.684 0.000 0.000
0.000 9.684 0.000
0.000 0.000 3.659
In Ba La
4 2 4
Direct
0.178 0.678 0.500 In
0.678 0.822 0.500 In
0.822 0.322 0.500 In
0.322 0.178 0.500 In
0.000 0.000 0.000 Ba
0.500 0.500 0.000 Ba
0.384 0.884 0.000 La
0.884 0.616 0.000 La
0.616 0.116 0.000 La
0.116 0.384 0.000 La
```

Stability summary: most stable arrangement c, least stable arrangement a.